1.
VASP calculation (GGA-PBE) on a geometry-optimized KLi3Tl4 structure.

a = 4.8110 Å, b = 4.8110 Å, c = 11.3158 Å
α = 77.73°, β = 77.73°, γ = 60.00°
Sites, in units of the cell vectors:
K 0.0000 0.0000 0.0000
Tl 0.8727 0.8727 0.3819
Tl 0.4059 0.4059 0.7822
Tl 0.1273 0.1273 0.6181
Tl 0.5941 0.5941 0.2178
Li 0.2203 0.2203 0.3390
Li 0.7797 0.7797 0.6610
Li 0.5000 0.5000 0.5000

Summary:
volume = 27.5 Å³/atom
E = -2.200 eV per atom
calculated formation energy = -161.9 meV per atom

=====

2.
VASP calculation (GGA-PBE) on a geometry-optimized FeCoOs2 structure.

a = 8.6135 Å, b = 8.6135 Å, c = 8.6135 Å
α = 17.72°, β = 17.72°, γ = 17.72°
Sites, in units of the cell vectors:
Co 0.2500 0.2500 0.2500
Fe 0.7500 0.7500 0.7500
Os 0.0000 0.0000 0.0000
Os 0.5000 0.5000 0.5000

Summary:
volume = 12.9 Å³/atom
E = -9.330 eV per atom
calculated formation energy = 177.1 meV per atom

=====

3.
VASP calculation (GGA-PBE) on a geometry-optimized PmTl2Pb2 structure.

a = 4.6833 Å, b = 4.7374 Å, c = 13.6179 Å
α = 90.00°, β = 99.90°, γ = 90.00°
Sites, in units of the cell vectors:
Pm 0.3500 0.2500 0.7000
Pm 0.6500 0.7500 0.3000
Tl 0.0499 0.7500 0.0998
Tl 0.4510 0.7500 0.9019
Tl 0.9501 0.2500 0.9002
Tl 0.5490 0.2500 0.0981
Pb 0.7503 0.2500 0.5006
Pb 0.2497 0.7500 0.4994
Pb 0.8535 0.7500 0.7070
Pb 0.1465 0.2500 0.2930

Summary:
volume = 29.8 Å³/atom
E = -3.591 eV per atom
calculated formation energy = -210.8 meV per atom

=====

4.
VASP calculation (GGA-PBE) on a geometry-optimized CeY3Pa2P6 structure.

a = 6.9469 Å, b = 6.9469 Å, c = 6.9193 Å
α = 99.63°, β = 99.63°, γ = 119.99°
Sites, in units of the cell vectors:
Ce 0.0000 0.0000 0.0000
Y 0.1649 0.8351 0.5000
Y 0.8351 0.1649 0.5000
Y 0.5000 0.5000 0.5000
Pa 0.3332 0.6668 0.0000
Pa 0.6668 0.3332 0.0000
P 0.9176 0.5780 0.7531
P 0.7427 0.7427 0.2469
P 0.0824 0.4220 0.2469
P 0.5780 0.9176 0.7531
P 0.2573 0.2573 0.7531
P 0.4220 0.0824 0.2469

Summary:
volume = 22.7 Å³/atom
E = -7.899 eV per atom
calculated formation energy = -1501.1 meV per atom

=====

5.
VASP calculation (GGA-PBE) on a geometry-optimized Y6ErTl5 structure.

a = 5.0207 Å, b = 8.7945 Å, c = 9.1550 Å
α = 118.71°, β = 105.88°, γ = 90.00°
Sites, in units of the cell vectors:
Y 0.8298 0.5664 0.6597
Y 0.8298 0.0933 0.6597
Y 0.5000 0.7261 0.0000
Y 0.5000 0.2739 0.0000
Y 0.1702 0.9067 0.3403
Y 0.1702 0.4336 0.3403
Tl 0.6460 0.1460 0.2921
Tl 0.3214 0.3212 0.6423
Tl 0.0000 0.5000 0.0000
Tl 0.6786 0.6788 0.3577
Tl 0.3540 0.8540 0.7079
Er 0.0000 0.0000 0.0000

Summary:
volume = 28.1 Å³/atom
E = -4.900 eV per atom
calculated formation energy = -301.3 meV per atom

=====

6.
VASP calculation (GGA-PBE) on a geometry-optimized Hf5Nb2Sn4 structure.

a = 3.0422 Å, b = 7.8398 Å, c = 9.9208 Å
α = 94.20°, β = 90.00°, γ = 90.00°
Sites, in units of the cell vectors:
Hf 0.0000 0.5550 0.3109
Hf 0.0000 0.1748 0.1534
Hf 0.0000 0.5000 0.0000
Hf 0.0000 0.8252 0.8466
Hf 0.0000 0.4450 0.6891
Nb 0.0000 0.0674 0.6335
Nb 0.0000 0.9326 0.3665
Sn 0.5000 0.7376 0.5697
Sn 0.5000 0.1882 0.8792
Sn 0.5000 0.2624 0.4303
Sn 0.5000 0.8118 0.1208

Summary:
volume = 21.5 Å³/atom
E = -7.873 eV per atom
calculated formation energy = -62.7 meV per atom